Compound: Pm2Co2Sn3
Source: Alexandria via LeMat-Bulk
Functional: PBE-GGA
Structure: optimized geometry

For the total DFT energy (no corrections), the calculation gives -36.81 eV per cell. As for the density of states at the Fermi level: 4.44 states/eV/cell.

Lattice parameters (Å, degrees): 4.0253 3.6731 12.0786 90.00 99.61 90.00
Last column: nearest neighbours and their distance in Å.
Space group P2/m (No. 10)
One atom of each set of equivalent atoms:
Pm  0.0988  0.0000  0.1952  4 Co 2.73
Co  0.3951  0.5000  0.7919  2 Sn 2.45-2.48, 4 Pm 2.73
Sn  0.2933  0.5000  0.5859  1 Co 2.45
Sn  0.5000  0.5000  0.0000  2 Co 2.48

Compound: Y2ScInB
Source: Alexandria via LeMat-Bulk
Functional: PBE-GGA
Structure: optimized geometry

For the total DFT energy (no corrections), the calculation gives -30.33 eV per cell. As for the density of states at the Fermi level: 6.38 states/eV/cell.

Lattice parameters (Å, degrees): 5.0796 5.0796 4.6805 90.00 90.00 90.00
Last column: nearest neighbours and their distance in Å.
Space group P4/mmm (No. 123)
One atom of each set of equivalent atoms:
Y  0.0000  0.5000  0.0000  2 B 2.54
Sc  0.0000  0.0000  0.5000  2 B 2.34
In  0.5000  0.5000  0.5000  8 Y 3.45, 4 Sc 3.59
B  0.0000  0.0000  0.0000  2 Sc 2.34, 4 Y 2.54

Compound: Cd2Ga2Sn
Source: Alexandria via LeMat-Bulk
Functional: PBE-GGA
Structure: optimized geometry

The value obtained for the energy above the lowest structure with this stoichiometry is 0.049 eV per atom. As for the density of states at the Fermi level: 3.86 states/eV/cell.

Lattice parameters (Å, degrees): 4.0967 4.0967 13.8720 90.00 90.00 90.00
Last column: nearest neighbours and their distance in Å.
Space group I4/mmm (No. 139)
One atom of each set of equivalent atoms:
Cd  0.0000  0.0000  0.1035  1 Cd 2.87, 4 Ga 2.89
Ga  0.0000  0.5000  0.2500  4 Cd 2.89, 4 Ga 2.90
Sn  0.0000  0.0000  0.5000  8 Cd 3.23